# PBE-GGA Sm2ThAl, relaxed
data_Sm2ThAl
_chemical_formula_sum 'Sm2 Th1 Al1'
_cell_length_a 4.851
_cell_length_b 4.851
_cell_length_c 4.835
_cell_angle_alpha 90.00
_cell_angle_beta 90.00
_cell_angle_gamma 90.00
_symmetry_space_group_name_H-M 'P 1'
_symmetry_Int_Tables_number 1
_symmetry_space_group_name_Hall 'P 1'
loop_
_atom_site_label
_atom_site_fract_x
_atom_site_fract_y
_atom_site_fract_z
Sm1 0.000 0.500 0.000
Sm2 0.500 0.000 0.000
Th1 0.000 0.000 0.500
Al1 0.500 0.500 0.500
# VASP energy   -5.29 eV per atom
# Relative energy among the computed polymorphs   0.0209 eV per atom
# SG   P4/mmm